The following is a DFT calculation (PBE) of crystalline NaCa3P at its relaxed geometry.

The structure belongs to space group C2/m (No. 12); the cell edges are 20.939, 3.911 and 8.449 Å and the angles 90.00°, 91.60° and 90.00°. The distinct sites, in fractional coordinates, are Na at (0.214, 0.000, 0.348), Ca at (0.030, 0.000, 0.174), Ca at (0.089, 0.500, 0.571), Ca at (0.168, 0.000, 0.913) and P at (0.072, 0.500, 0.901).

The value obtained for the calculated volume is 34.6 A^3/atom. The calculation puts the polymorph energy (0 for the lowest one) at 47.8 meV per atom. For the formation enthalpy at 0 K, the calculation gives -0.44 eV per atom. The density comes out at 1673 kg/m3.